Record 1
The following is a GGA-PBE calculation of crystalline NpSiTe2 at its relaxed geometry, from Alexandria.

Cell and atoms, written as POSCAR:
```
NpSiTe2
1.0
3.821 0.000 0.000
1.911 3.309 0.000
1.911 1.103 9.378
Np Si Te
1 1 2
direct
0.000 0.000 0.000
0.500 0.500 0.500
0.108 0.108 0.675
0.892 0.892 0.325
```

raw formation energy = 34.6 kJ per mole of atoms

Record 2
The following is a GGA-PBE calculation of crystalline Na2GaI3 at its relaxed geometry, from Alexandria.

Cell and atoms, written as POSCAR:
```
Na2GaI3
1.0
-1.605 6.218 1.292
-4.592 -2.817 7.854
9.231 2.241 0.682
Na Ga I
4 2 6
direct
0.494 0.831 0.496
0.994 0.504 0.169
0.494 0.496 0.831
0.994 0.169 0.504
0.992 0.834 0.834
0.492 0.166 0.166
0.993 0.831 0.491
0.493 0.509 0.169
0.993 0.491 0.831
0.493 0.169 0.509
0.492 0.824 0.824
0.992 0.176 0.176
```

ΔE to the lowest computed polymorph = 32.4 meV per atom
raw formation energy = -88.4 kJ per mole of atoms

Record 3
The following is a GGA-PBE calculation of crystalline CePmTlBr at its relaxed geometry, from Alexandria.

Cell and atoms, written as POSCAR:
```
CePmTlBr
1.0
-1.849 -4.965 -1.158
2.968 -3.355 -3.057
2.337 -4.354 2.236
Tl Br Ce Pm
1 1 1 1
direct
0.750 0.750 0.750
0.250 0.250 0.250
0.500 0.500 0.500
0.000 0.000 0.000
```

raw formation energy = -53.3 kJ per mole of atoms

Record 4
The following is a GGA-PBE calculation of crystalline ZrZnNiIr at its relaxed geometry, from Alexandria.

Cell and atoms, written as POSCAR:
```
ZrZnNiIr
1.0
-1.523 1.077 -4.024
-1.647 -3.142 -2.663
-4.354 -0.142 -0.835
Ni Zn Ir Zr
1 1 1 1
direct
0.250 0.250 0.250
0.500 0.500 0.500
0.750 0.750 0.750
0.000 0.000 0.000
```

ΔE to the lowest computed polymorph = 16.0 meV per atom

Number 1: total magnetization 1.335 μB per atom. Number 2: total magnetization 0.000 μB per atom. Number 3: total magnetization 0.238 μB per atom. Number 4: total magnetization 0.000 μB per atom.